Below is a crystal of Mn2PW relaxed with PBEsol, with properties calculated at the SCAN level.

## Properties
* energy of formation: 0.145 eV/atom
* crystal system: orthorhombic

Cell lengths 2.725, 3.695, 4.757 Å; angles 90.00, 90.00, 90.00 degrees
Space group Pmm2 (No. 25)
One atom of each set of equivalent atoms:
1 Mn 0.000 0.000 0.000 x1
2 Mn 0.500 0.500 0.273 x1
3 P 0.000 0.000 0.475 x1
4 W 0.500 0.500 0.762 x1


Below is a crystal of Y2Mn12P7 relaxed with PBEsol, with properties calculated at the SCAN level.

## Properties
* energy of formation: -0.815 eV/atom
* crystal system: hexagonal

Cell lengths 9.1181, 9.1181, 3.5676 Å; angles 90.00, 90.00, 120.00 degrees
Space group P-6 (No. 174)
One atom of each set of equivalent atoms:
1 Y 0.0000 0.0000 0.0000 x1
2 Y 0.3333 0.6667 0.5000 x1
3 Mn 0.0437 0.2854 0.5000 x3
4 Mn 0.1023 0.7243 0.0000 x3
5 Mn 0.4452 0.2134 0.0000 x3
6 Mn 0.5111 0.4539 0.5000 x3
7 P 0.0738 0.4584 0.0000 x3
8 P 0.2574 0.2138 0.5000 x3
9 P 0.6667 0.3333 0.5000 x1


Below is a crystal of Y2MnP relaxed with PBEsol, with properties calculated at the SCAN level.

## Properties
* energy of formation: -0.505 eV/atom
* crystal system: tetragonal

Cell lengths 3.990, 3.990, 5.633 Å; angles 90.00, 90.00, 90.00 degrees
Space group P4mm (No. 99)
One atom of each set of equivalent atoms:
1 Y 0.000 0.000 0.000 x1
2 Y 0.500 0.500 0.476 x1
3 Mn 0.000 0.000 0.501 x1
4 P 0.500 0.500 0.978 x1


no.,total DFT energy (no corrections) (eV per atom)
1,-29.00
2,-17.36
3,-21.59